# 1
Ca3NbO6 | PBEsol | optimized geometry

```
20
Lattice="5.612 0.000 0.005 0.000 5.889 0.000 0.072 0.000 7.976" Properties=species:S:1:pos:R:3 pbc="T T T"
Ca 2.696 0.358 1.928
Ca 2.989 5.531 6.053
Ca 0.146 3.302 2.063
Ca 5.538 2.587 5.918
Ca 2.806 2.944 0.002
Ca 0.036 0.000 3.988
Nb 2.842 2.944 3.990
Nb 0.000 0.000 0.000
O 3.571 2.569 2.166
O 2.113 3.320 5.815
O 4.883 5.513 1.829
O 0.802 0.376 6.152
O 1.838 4.574 3.330
O 3.846 1.315 4.651
O 1.004 1.629 0.660
O 4.680 4.260 7.320
O 1.242 1.852 3.516
O 4.442 4.037 4.465
O 1.600 4.796 0.474
O 4.085 1.093 7.506
```

* D(E_F): 6.79 states/eV/f.u.
* total energy: -151.75 eV/cell
* energy relative to the elements, uncorrected: -2.716 eV per atom

***

# 2
MgAlZn2 | PBEsol | optimized geometry

```
4
Lattice="4.147 0.000 0.000 0.000 4.147 0.000 -2.074 -2.074 3.780" Properties=species:S:1:pos:R:3 pbc="T T T"
Mg 2.074 2.074 0.000
Zn 2.074 0.000 1.890
Zn 0.000 2.074 1.890
Al 0.000 0.000 0.000
```

* D(E_F): 1.40 states/eV/f.u.
* total energy: -9.01 eV/cell

***

# 3
Mn3AlC | PBEsol | optimized geometry

```
5
Lattice="-1.340 -1.946 -2.924 -1.250 -2.661 2.344 -3.283 1.807 0.302" Properties=species:S:1:pos:R:3 pbc="T T T"
C -2.936 -1.400 -0.139
Mn -2.266 -0.427 1.323
Mn -1.295 -2.303 -0.290
Mn -2.311 -0.069 -1.311
Al 0.000 0.000 0.000
```

* D(E_F): 3.70 states/eV/f.u.
* total energy: -44.00 eV/cell

***

# 4
Ca2ScOs | PBEsol | optimized geometry

```
4
Lattice="-2.129 1.166 2.173 0.332 -3.603 2.259 6.902 4.392 1.962" Properties=species:S:1:pos:R:3 pbc="T T T"
Sc 0.166 -1.802 1.130
Ca 3.246 0.972 5.100
Ca 1.861 0.983 1.295
Os -1.064 0.583 1.087
```

* D(E_F): 3.23 states/eV/f.u.
* total energy: -22.62 eV/cell

***

# 5
TaCuPt | PBEsol | optimized geometry

```
3
Lattice="-2.708 -0.448 0.420 0.368 -3.581 -1.446 1.980 0.598 4.229" Properties=species:S:1:pos:R:3 pbc="T T T"
Pt 0.543 -0.950 2.492
Cu -0.361 -3.429 3.195
Ta -0.902 -2.484 0.717
```

* D(E_F): 1.21 states/eV/f.u.
* total energy: -25.09 eV/cell

***

# 6
Na3Ag | PBEsol | optimized geometry

```
8
Lattice="-3.539 -1.655 3.635 2.608 -6.198 -0.282 2.428 4.475 4.401" Properties=species:S:1:pos:R:3 pbc="T T T"
Na 1.069 -3.448 5.346
Na -0.077 -5.561 3.268
Na -1.309 -2.635 3.401
Na 0.429 0.071 2.408
Na 1.575 2.184 4.486
Na 2.807 -0.742 4.352
Ag 1.664 -3.054 2.188
Ag -0.166 -0.323 5.566
```

* D(E_F): 1.62 states/eV/f.u.
* total energy: -14.53 eV/cell

***

# 7
ReIrBr | PBEsol | optimized geometry

```
3
Lattice="4.120 0.000 0.000 2.060 3.568 0.000 2.060 1.189 3.364" Properties=species:S:1:pos:R:3 pbc="T T T"
Re 4.120 2.379 1.682
Ir 0.000 0.000 0.000
Br 6.181 3.568 2.523
```

* D(E_F): 3.15 states/eV/f.u.
* total energy: -19.88 eV/cell
* energy relative to the elements, uncorrected: 1.714 eV per atom

***

# 8
CaMnO2 | PBEsol | optimized geometry

```
4
Lattice="-2.527 -1.193 2.070 -2.542 -1.973 -1.319 1.526 -5.940 1.361" Properties=species:S:1:pos:R:3 pbc="T T T"
Ca -1.771 -4.553 1.056
Mn 0.000 0.000 0.000
O -4.103 -4.633 1.085
O 0.560 -4.473 1.028
```

* D(E_F): 3.87 states/eV/f.u.
* total energy: -29.98 eV/cell
* energy relative to the elements, uncorrected: -1.896 eV per atom

***

# 9
AsCl | PBEsol | optimized geometry

```
4
Lattice="4.612 0.000 0.000 2.306 3.994 0.000 2.306 1.331 3.964" Properties=species:S:1:pos:R:3 pbc="T T T"
As 2.306 1.331 2.589
As 6.918 3.994 1.375
Cl 4.612 2.663 3.407
Cl 4.612 2.663 0.557
```

* D(E_F): 0.98 states/eV/f.u.
* total energy: -13.60 eV/cell
* energy relative to the elements, uncorrected: 0.157 eV per atom

***

# 10
KHg2As | PBEsol | optimized geometry

```
4
Lattice="-1.375 -1.171 -3.270 3.298 -1.543 -0.834 -2.251 -6.600 3.311" Properties=species:S:1:pos:R:3 pbc="T T T"
As -0.911 -6.847 0.703
Hg -2.125 -6.229 3.125
Hg 0.477 -2.778 -1.339
K -1.146 -3.360 1.686
```

* D(E_F): 2.14 states/eV/f.u.
* total energy: -7.56 eV/cell

***

# 11
Mg3Sb | PBEsol | optimized geometry

```
8
Lattice="-0.714 3.873 -1.812 -2.286 -1.898 -3.157 -6.475 -0.027 7.683" Properties=species:S:1:pos:R:3 pbc="T T T"
Sb -3.366 1.212 -1.268
Sb -6.109 0.736 3.982
Mg -1.143 -0.949 -1.578
Mg -0.357 1.937 -0.906
Mg -4.345 2.417 1.693
Mg -5.131 -0.469 1.021
Mg -7.456 1.705 1.397
Mg -2.020 0.243 1.317
```

* D(E_F): 1.47 states/eV/f.u.
* total energy: -20.84 eV/cell
* energy relative to the elements, uncorrected: -0.178 eV per atom

***

# 12
CdSb2 | PBEsol | optimized geometry

```
3
Lattice="-3.805 -0.690 1.454 1.745 -2.708 -2.587 2.124 -2.712 4.272" Properties=species:S:1:pos:R:3 pbc="T T T"
Sb 0.609 -2.947 0.196
Sb -0.545 -3.163 2.943
Cd 0.000 0.000 0.000
```

* D(E_F): 1.20 states/eV/f.u.
* total energy: -10.14 eV/cell
* energy relative to the elements, uncorrected: 0.056 eV per atom